A relaxed PuNi2B2 crystal, computed with GGA-PBE.

Output
Its energy is -81.13 eV/cell. Its formation energy is -0.263 eV per atom.

abc: 9.907 3.143 3.984
angles: 90.00 104.25 90.00
Space group C2/m (No. 12)
Inequivalent atoms, fractional coordinates:
Pu 0.000 0.000 0.000
Ni 0.169 0.500 0.589
B 0.236 0.500 0.117